The following is a PBE-GGA calculation of a relaxed Cs2ThTe4 crystal, from Alexandria.

Unit cell a=8.6895 b=4.7092 c=9.3253 alpha=90.00 beta=110.62 gamma=90.00
Closest atoms and distances in Å follow each position.
Space group P2/m (No. 10)
One atom of each set of equivalent atoms:
Cs  0.1982  0.0000  0.3200 (multiplicity 2)  4 Te 3.68-3.88
Th  0.5000  0.5000  0.0000 (multiplicity 1)  6 Te 3.14-3.19
Te  0.1113  0.5000  0.9193 (multiplicity 2)  1 Te 2.84
Te  0.4103  0.0000  0.7617 (multiplicity 2)  2 Th 3.14

VASP energy = -4.0284 eV per atom
ΔE_f (raw) = -929.3 meV per atom


The following is a PBE-GGA calculation of a relaxed CsThTe3 crystal, from Alexandria.

Unit cell a=6.1507 b=6.1507 c=6.1507 alpha=90.00 beta=90.00 gamma=90.00
Closest atoms and distances in Å follow each position.
Space group Pm-3m (No. 221)
One atom of each set of equivalent atoms:
Cs  0.0000  0.0000  0.0000 (multiplicity 1)  12 Te 4.35
Th  0.5000  0.5000  0.5000 (multiplicity 1)  6 Te 3.08
Te  0.0000  0.5000  0.5000 (multiplicity 3)  2 Th 3.08

polymorph energy (0 for the lowest one) = 40 meV/atom
VASP energy = -4.5553 eV per atom
ΔE_f (raw) = -1015.6 meV per atom


The following is a PBE-GGA calculation of a relaxed CsThTe crystal, from Alexandria.

Unit cell a=6.0750 b=6.0753 c=14.8068 alpha=90.00 beta=90.20 gamma=90.00
Closest atoms and distances in Å follow each position.
Space group C2/m (No. 12)
One atom of each set of equivalent atoms:
Cs  0.2458  0.0000  0.1525 (multiplicity 4)  1 Th 4.06, 4 Te 4.17-4.18, 4 Cs 4.30
Th  0.2494  0.0000  0.4268 (multiplicity 4)  5 Te 3.27-3.37
Te  0.2486  0.5000  0.3457 (multiplicity 4)  5 Th 3.27-3.37

VASP energy = -4.4241 eV per atom
ΔE_f (raw) = -619.1 meV per atom


The following is a PBE-GGA calculation of a relaxed CsThTe2 crystal, from Alexandria.

Unit cell a=4.4022 b=4.4022 c=9.6341 alpha=90.00 beta=90.00 gamma=120.00
Closest atoms and distances in Å follow each position.
Space group P-6m2 (No. 187)
One atom of each set of equivalent atoms:
Cs  0.0000  0.0000  0.0000 (multiplicity 1)  6 Te 3.81
Th  0.0000  0.0000  0.5000 (multiplicity 1)  6 Te 3.22
Te  0.6667  0.3333  0.2953 (multiplicity 2)  3 Th 3.22

VASP energy = -4.7867 eV per atom
ΔE_f (raw) = -1147.6 meV per atom


The following is a PBE-GGA calculation of a relaxed Cs5ThTe4 crystal, from Alexandria.

Unit cell a=22.5533 b=4.9675 c=10.4395 alpha=90.00 beta=99.39 gamma=90.00
Closest atoms and distances in Å follow each position.
Space group C2/m (No. 12)
One atom of each set of equivalent atoms:
Cs  0.0000  0.0000  0.0000 (multiplicity 2)  4 Te 3.97
Cs  0.1578  0.5000  0.8264 (multiplicity 4)  3 Te 3.64-3.74
Cs  0.1782  0.5000  0.3387 (multiplicity 4)  4 Te 3.66-4.07
Th  0.0000  0.0000  0.5000 (multiplicity 2)  6 Te 3.11-3.27
Te  0.0072  0.5000  0.2990 (multiplicity 4)  2 Th 3.27
Te  0.1393  0.0000  0.5685 (multiplicity 4)  1 Th 3.11

VASP energy = -3.4192 eV per atom
ΔE_f (raw) = -993.7 meV per atom


The following is a PBE-GGA calculation of a relaxed CsThTe3 crystal, from Alexandria.

Unit cell a=20.2427 b=4.6533 c=11.4873 alpha=90.00 beta=117.91 gamma=90.00
Closest atoms and distances in Å follow each position.
Space group C2/m (No. 12)
One atom of each set of equivalent atoms:
Cs  0.1095  0.0000  0.2854 (multiplicity 4)  6 Te 3.82-4.19
Th  0.1842  0.5000  0.8022 (multiplicity 4)  6 Te 3.10-3.22
Te  0.0105  0.5000  0.6278 (multiplicity 4)  1 Te 2.76
Te  0.1499  0.0000  0.9597 (multiplicity 4)  3 Th 3.19-3.22
Te  0.2232  0.0000  0.6661 (multiplicity 4)  2 Th 3.10

polymorph energy (0 for the lowest one) = 0 meV/atom
VASP energy = -4.5949 eV per atom
ΔE_f (raw) = -1055.2 meV per atom


Number 1: V 51.02 Å³ per atom. Number 2: V 46.54 Å³ per atom. Number 3: V 45.54 Å³ per atom. Number 4: V 40.42 Å³ per atom. Number 5: V 57.69 Å³ per atom. Number 6: V 47.81 Å³ per atom.